1.
AcPr3Sn3 | PBE | relaxed

The calculation puts the uncorrected energy at -4.84 eV per atom.

The space group is P6_3/m (No. 176) and the conventional cell measures 9.8121, 9.8121 and 6.1626 Å, with angles of 90.00, 90.00 and 120.00 degrees. The asymmetric unit holds Ac at (0.3333, 0.6667, 0.2500), Pr at (0.0057, 0.7068, 0.7500) and Sn at (0.0335, 0.3857, 0.7500).

2.
TbNd9Tm2 | PBE | relaxed

The calculation puts the uncorrected energy at -4.69 eV per atom.

The space group is P4/mmm (No. 123) and the conventional cell measures 5.144, 5.144 and 15.435 Å, with angles of 90.00, 90.00 and 90.00 degrees. The asymmetric unit holds Tb at (0.000, 0.000, 0.000), Nd at (0.000, 0.500, 0.168), Nd at (0.000, 0.500, 0.500), Nd at (0.500, 0.500, 0.000), Nd at (0.500, 0.500, 0.334) and Tm at (0.000, 0.000, 0.334).

3.
Mg6H12Ru | PBE | relaxed

The calculation puts the uncorrected energy at -3.22 eV per atom.

The space group is R-3 (No. 148, hexagonal axes) and the conventional cell measures 8.3756, 8.3756 and 8.6770 Å, with angles of 90.00, 90.00 and 120.00 degrees. The asymmetric unit holds Mg at (0.0516, 0.2564, 0.1688), H at (0.0338, 0.1945, 0.3925), H at (0.0359, 0.2172, 0.8995) and Ru at (0.0000, 0.0000, 0.5000).

4.
Pr2BPd2Pt4 | PBE | relaxed

The calculation puts the uncorrected energy at -6.49 eV per atom.

The space group is I4/mmm (No. 139) and the conventional cell measures 5.979, 5.979 and 8.884 Å, with angles of 90.00, 90.00 and 90.00 degrees. The asymmetric unit holds Pr at (0.000, 0.500, 0.250), B at (0.000, 0.000, 0.000), Pd at (0.000, 0.000, 0.261) and Pt at (0.246, 0.246, 0.500).

5.
Li7PmCd4 | PBE | relaxed

The calculation puts the uncorrected energy at -1.86 eV per atom.

The space group is C2/m (No. 12) and the conventional cell measures 13.853, 5.110 and 8.712 Å, with angles of 90.00, 126.51 and 90.00 degrees. The asymmetric unit holds Li at (0.000, 0.000, 0.000), Li at (0.060, 0.500, 0.690), Li at (0.203, 0.000, 0.729), Li at (0.218, 0.500, 0.557), Pm at (0.000, 0.500, 0.000), Cd at (0.046, 0.000, 0.347) and Cd at (0.199, 0.000, 0.037).

6.
CaMg3Ga3 | PBE | relaxed

The calculation puts the uncorrected energy at -2.02 eV per atom. The energy above the lowest structure with this stoichiometry comes out at 437 meV/atom.

The space group is Pm-3n (No. 223) and the conventional cell measures 7.443, 7.443 and 7.443 Å, with angles of 90.00, 90.00 and 90.00 degrees. The asymmetric unit holds Ca at (0.000, 0.000, 0.000), Mg at (0.000, 0.250, 0.500) and Ga at (0.000, 0.500, 0.250).

Question: Which of these has the lowest uncorrected energy?
Answer: Pr2BPd2Pt4

Copy entry 1 word for word.
AcPr3Sn3 | PBE | relaxed

The calculation puts the uncorrected energy at -4.84 eV per atom.

The space group is P6_3/m (No. 176) and the conventional cell measures 9.8121, 9.8121 and 6.1626 Å, with angles of 90.00, 90.00 and 120.00 degrees. The asymmetric unit holds Ac at (0.3333, 0.6667, 0.2500), Pr at (0.0057, 0.7068, 0.7500) and Sn at (0.0335, 0.3857, 0.7500).

Question: What is the uncorrected energy in the first record?
Answer: -4.84 eV per atom

Question: Which of these has the highest uncorrected energy?
Answer: Li7PmCd4